No. 1
{
  "formula": "BaCa2Ga2",
  "functional": "GGA-PBEsol",
  "state": "relaxed",
  "lattice": [[4.642, 0.000, 0.000], [0.000, 8.109, 0.000], [0.000, 0.000, 8.109]],
  "species": ["Ga", "Ga", "Ba", "Ga", "Ca", "Ga", "Ca", "Ba", "Ca", "Ca"],
  "fractional_positions": [[0.000, 0.890, 0.610], [0.000, 0.390, 0.890], [0.000, 0.500, 0.500], [0.000, 0.110, 0.390], [0.500, 0.835, 0.335], [0.000, 0.610, 0.110], [0.500, 0.165, 0.665], [0.000, 0.000, 0.000], [0.500, 0.665, 0.835], [0.500, 0.335, 0.165]],
  "vol_a3_per_fu": 153,
  "formation_energy_ev_per_atom": -0.297
}


No. 2
{
  "formula": "Mg2TlH2",
  "functional": "GGA-PBEsol",
  "state": "relaxed",
  "lattice": [[3.314, 0.000, 0.000], [0.000, 3.314, 0.000], [-1.657, -1.657, 6.562]],
  "species": ["Tl", "H", "Mg", "H", "Mg"],
  "fractional_positions": [[0.000, 0.000, 0.000], [0.750, 0.250, 0.500], [0.662, 0.662, 0.324], [0.250, 0.750, 0.500], [0.338, 0.338, 0.676]],
  "energy_ry_per_atom": -0.1930,
  "vol_a3_per_fu": 72
}


No. 3
{
  "formula": "Ta2CuSb",
  "functional": "GGA-PBEsol",
  "state": "relaxed",
  "lattice": [[3.740, 0.000, 0.000], [0.000, 4.154, 0.000], [0.000, 0.000, 4.344]],
  "species": ["Sb", "Ta", "Cu", "Ta"],
  "fractional_positions": [[0.000, 0.500, 0.500], [0.000, 0.000, 0.000], [0.500, 0.000, 0.500], [0.500, 0.500, 0.000]],
  "vol_a3_per_fu": 67,
  "raw_formation_energy_ev_per_atom": 0.11
}


No. 4
{
  "formula": "Ba2AsOs",
  "functional": "GGA-PBEsol",
  "state": "relaxed",
  "lattice": [[-0.865, -0.782, 3.151], [0.636, -3.239, -0.629], [9.302, 1.269, 2.867]],
  "species": ["Ba", "Ba", "Os", "As"],
  "fractional_positions": [[0.500, 0.500, 0.329], [0.000, 0.000, 0.924], [0.000, 0.000, 0.573], [0.500, 0.500, 0.674]],
  "vol_a3_per_fu": 111,
  "formation_energy_ev_per_atom": 0.181
}


No. 5
{
  "formula": "InIr",
  "functional": "GGA-PBEsol",
  "state": "relaxed",
  "lattice": [[2.960, 0.000, 0.000], [-1.480, 5.343, -0.011], [0.000, -1.743, 6.451]],
  "species": ["In", "In", "In", "Ir", "Ir", "Ir"],
  "fractional_positions": [[0.342, 0.685, 0.700], [0.390, 0.779, 0.253], [0.657, 0.314, 0.331], [0.712, 0.424, 0.954], [0.007, 0.015, 0.993], [0.058, 0.116, 0.602]],
  "vol_a3_per_fu": 34,
  "formation_energy_ev_per_atom": 0.139
}


No. 6
{
  "formula": "Ho2PbS4",
  "functional": "GGA-PBEsol",
  "state": "relaxed",
  "lattice": [[-2.939, -0.036, -2.585], [-6.919, -5.298, 7.941], [-4.297, 12.667, 4.707]],
  "species": ["Pb", "S", "S", "S", "Ho", "Pb", "S", "Ho", "S", "S", "S", "S", "S", "S", "Pb", "S", "S", "Ho", "S", "S", "Ho", "Ho", "S", "S", "Pb", "Ho", "Ho", "Ho"],
  "fractional_positions": [[0.750, 0.232, 0.336], [0.750, 0.369, 0.974], [0.750, 0.292, 0.673], [0.750, 0.869, 0.526], [0.250, 0.434, 0.609], [0.250, 0.768, 0.664], [0.750, 0.983, 0.286], [0.750, 0.566, 0.391], [0.250, 0.208, 0.173], [0.750, 0.792, 0.827], [0.750, 0.086, 0.921], [0.250, 0.708, 0.327], [0.250, 0.517, 0.786], [0.750, 0.483, 0.214], [0.750, 0.732, 0.164], [0.250, 0.131, 0.474], [0.250, 0.914, 0.079], [0.750, 0.581, 0.900], [0.250, 0.414, 0.421], [0.250, 0.017, 0.714], [0.250, 0.919, 0.400], [0.750, 0.066, 0.109], [0.250, 0.631, 0.026], [0.750, 0.586, 0.579], [0.250, 0.268, 0.836], [0.750, 0.081, 0.600], [0.250, 0.419, 0.100], [0.250, 0.934, 0.891]],
  "vol_a3_per_fu": 164,
  "raw_formation_energy_ev_per_atom": -1.66
}


No. 7
{
  "formula": "ScGeN2F",
  "functional": "GGA-PBEsol",
  "state": "relaxed",
  "lattice": [[3.694, 0.000, 0.000], [0.000, 3.800, 0.000], [0.000, 0.000, 3.800]],
  "species": ["N", "F", "Ge", "N", "Sc"],
  "fractional_positions": [[0.000, 0.000, 0.500], [0.500, 0.000, 0.000], [0.000, 0.000, 0.000], [0.000, 0.500, 0.000], [0.500, 0.500, 0.500]],
  "vol_a3_per_fu": 53,
  "raw_formation_energy_ev_per_atom": -0.77,
  "relative_energy_mev_per_atom": 0.0
}


No. 8
{
  "formula": "ZnReTc3",
  "functional": "GGA-PBEsol",
  "state": "relaxed",
  "lattice": [[4.623, 0.000, 0.000], [0.000, 4.623, 0.000], [0.000, 0.000, 4.623]],
  "species": ["Tc", "Re", "Tc", "Tc", "Zn"],
  "fractional_positions": [[0.500, 0.000, 0.000], [0.000, 0.000, 0.000], [0.000, 0.000, 0.500], [0.000, 0.500, 0.000], [0.500, 0.500, 0.500]],
  "vol_a3_per_fu": 99,
  "formation_energy_ev_per_atom": 1.845
}


No. 9
{
  "formula": "BaNaZr3",
  "functional": "GGA-PBEsol",
  "state": "relaxed",
  "lattice": [[5.223, 0.000, 0.000], [0.000, 5.223, 0.000], [0.000, 0.000, 5.223]],
  "species": ["Ba", "Na", "Zr", "Zr", "Zr"],
  "fractional_positions": [[0.500, 0.500, 0.500], [0.000, 0.000, 0.000], [0.000, 0.000, 0.500], [0.500, 0.000, 0.000], [0.000, 0.500, 0.000]],
  "vol_a3_per_fu": 143,
  "formation_energy_ev_per_atom": 1.376
}


No. 10
{
  "formula": "CdP2Pb",
  "functional": "GGA-PBEsol",
  "state": "relaxed",
  "lattice": [[-3.521, -1.176, -1.305], [-0.293, -3.228, -2.231], [-2.020, -4.991, 4.017]],
  "species": ["P", "P", "Cd", "Pb"],
  "fractional_positions": [[0.756, 0.756, 0.731], [0.244, 0.244, 0.269], [0.500, 0.500, 0.500], [0.000, 0.000, 0.000]],
  "vol_a3_per_fu": 85,
  "formation_energy_ev_per_atom": 0.208
}


No. 11
{
  "formula": "NiW",
  "functional": "GGA-PBEsol",
  "state": "relaxed",
  "lattice": [[-1.683, -1.633, 1.093], [2.055, -3.143, -1.531], [3.622, 0.662, 3.501]],
  "species": ["Ni", "W", "Ni", "W"],
  "fractional_positions": [[0.565, 0.750, 0.131], [0.166, 0.250, 0.333], [0.435, 0.250, 0.869], [0.834, 0.750, 0.667]],
  "vol_a3_per_fu": 26,
  "formation_energy_ev_per_atom": -0.003
}


No. 12
{
  "formula": "Ba2BeSb2",
  "functional": "GGA-PBEsol",
  "state": "relaxed",
  "lattice": [[-1.826, 4.539, -2.513], [-6.831, -1.540, 2.181], [1.096, 3.845, 6.148]],
  "species": ["Ba", "Sb", "Ba", "Be", "Sb", "Ba", "Be", "Sb", "Sb", "Ba"],
  "fractional_positions": [[0.500, 0.674, 0.826], [0.000, 0.359, 0.859], [0.500, 0.174, 0.674], [0.000, 0.000, 0.000], [0.000, 0.141, 0.359], [0.500, 0.326, 0.174], [0.000, 0.500, 0.500], [0.000, 0.641, 0.141], [0.000, 0.859, 0.641], [0.500, 0.826, 0.326]],
  "vol_a3_per_fu": 148,
  "raw_formation_energy_ev_per_atom": -0.35
}


No. 13
{
  "formula": "K2CrFe",
  "functional": "GGA-PBEsol",
  "state": "relaxed",
  "lattice": [[-2.864, 0.879, 0.508], [-0.678, -3.083, 1.513], [2.588, 3.846, 8.998]],
  "species": ["Fe", "Cr", "K", "K"],
  "fractional_positions": [[0.502, 0.500, 0.649], [0.005, 0.000, 0.603], [0.977, 0.000, 0.916], [0.516, 0.500, 0.331]],
  "vol_a3_per_fu": 108,
  "relative_energy_mev_per_atom": 0.0,
  "formation_energy_ev_per_atom": 0.884
}


No. 14
{
  "formula": "FePbBr2",
  "functional": "GGA-PBEsol",
  "state": "relaxed",
  "lattice": [[-1.792, -2.533, -1.565], [0.643, -1.647, 5.456], [-3.496, 4.543, 0.174]],
  "species": ["Br", "Br", "Fe", "Pb"],
  "fractional_positions": [[0.000, 0.500, 0.000], [0.000, 0.000, 0.500], [0.500, 0.000, 0.000], [0.500, 0.500, 0.500]],
  "vol_a3_per_fu": 98,
  "raw_formation_energy_ev_per_atom": 0.32,
  "relative_energy_mev_per_atom": 403.0
}


No. 15
{
  "formula": "TcHg3B",
  "functional": "GGA-PBEsol",
  "state": "relaxed",
  "lattice": [[4.481, 0.000, 0.000], [0.000, 4.481, 0.000], [0.000, 0.000, 4.481]],
  "species": ["B", "Hg", "Tc", "Hg", "Hg"],
  "fractional_positions": [[0.000, 0.000, 0.000], [0.000, 0.000, 0.500], [0.500, 0.500, 0.500], [0.000, 0.500, 0.000], [0.500, 0.000, 0.000]],
  "vol_a3_per_fu": 90,
  "formation_energy_ev_per_atom": 1.151
}


No. 16
{
  "formula": "In2NiCl",
  "functional": "GGA-PBEsol",
  "state": "relaxed",
  "lattice": [[-2.864, -0.385, 1.196], [1.686, -3.158, 3.021], [0.973, 3.974, 3.611]],
  "species": ["Ni", "Cl", "In", "In"],
  "fractional_positions": [[0.383, 0.000, 0.000], [0.865, 0.500, 0.500], [0.888, 0.500, 0.000], [0.364, 0.000, 0.500]],
  "vol_a3_per_fu": 80,
  "raw_formation_energy_ev_per_atom": -0.12,
  "relative_energy_mev_per_atom": 0.0
}


No. 17
{
  "formula": "InNiAsSe2",
  "functional": "GGA-PBEsol",
  "state": "relaxed",
  "lattice": [[-1.452, 3.003, 3.822], [-4.524, 0.785, -2.335], [-1.974, -4.077, 2.454]],
  "species": ["As", "Ni", "In", "Se", "Se"],
  "fractional_positions": [[0.500, 0.000, 0.000], [0.500, 0.500, 0.500], [0.000, 0.000, 0.000], [0.000, 0.500, 0.000], [0.000, 0.000, 0.500]],
  "vol_a3_per_fu": 135,
  "raw_formation_energy_ev_per_atom": 1.21
}


No. 18
{
  "formula": "U4Re7Si6",
  "functional": "GGA-PBEsol",
  "state": "relaxed",
  "lattice": [[-0.306, 0.492, 7.046], [3.438, -5.909, -1.803], [3.425, 5.608, -2.608]],
  "species": ["Si", "Si", "Si", "Re", "Re", "U", "U", "Si", "Si", "Re", "U", "U", "Re", "Re", "Si", "Re", "Re"],
  "fractional_positions": [[0.309, 0.309, 0.000], [0.691, 0.000, 0.691], [0.000, 0.309, 0.309], [0.500, 0.250, 0.750], [0.750, 0.250, 0.500], [0.000, 0.000, 0.500], [0.000, 0.500, 0.000], [0.000, 0.691, 0.691], [0.309, 0.000, 0.309], [0.000, 0.000, 0.000], [0.500, 0.000, 0.000], [0.500, 0.500, 0.500], [0.250, 0.500, 0.750], [0.250, 0.750, 0.500], [0.691, 0.691, 0.000], [0.500, 0.750, 0.250], [0.750, 0.500, 0.250]],
  "vol_a3_per_fu": 272,
  "raw_formation_energy_ev_per_atom": -0.48
}


No. 19
{
  "formula": "Sr2B4Rh5",
  "functional": "GGA-PBEsol",
  "state": "relaxed",
  "lattice": [[5.505, 0.000, 0.000], [2.752, 4.995, 0.000], [2.752, 0.000, 5.584]],
  "species": ["Rh", "Rh", "Rh", "B", "B", "B", "Sr", "Rh", "Sr", "Rh", "B"],
  "fractional_positions": [[0.750, 0.500, 0.500], [0.500, 0.000, 0.000], [0.000, 0.500, 0.000], [0.208, 0.328, 0.257], [0.535, 0.672, 0.257], [0.792, 0.672, 0.743], [0.143, 0.000, 0.713], [0.250, 0.500, 0.500], [0.857, 0.000, 0.287], [0.500, 0.500, 0.000], [0.465, 0.328, 0.743]],
  "vol_a3_per_fu": 154,
  "formation_energy_ev_per_atom": -0.586
}


No. 20
{
  "formula": "Pm3Sc",
  "functional": "GGA-PBEsol",
  "state": "relaxed",
  "lattice": [[-3.231, 3.715, 0.283], [-0.091, -0.453, 4.910], [5.355, 1.554, -2.234]],
  "species": ["Pm", "Sc", "Pm", "Pm"],
  "fractional_positions": [[0.500, 0.500, 0.000], [0.000, 0.000, 0.000], [0.750, 0.250, 0.500], [0.250, 0.750, 0.500]],
  "vol_a3_per_fu": 119,
  "relative_energy_mev_per_atom": 0.0,
  "formation_energy_ev_per_atom": 0.031
}